The following is a DFT calculation (PBE-GGA) of Ca2CuHg after structural relaxation.

```
Ca2CuHg
1.0
-1.030 -3.775 2.409
5.794 -0.719 1.351
-3.755 4.676 5.723
Ca Hg Cu
4 2 2
Direct
0.250 0.778 0.575 Ca
0.250 0.794 0.069 Ca
0.750 0.206 0.931 Ca
0.750 0.222 0.425 Ca
0.250 0.352 0.717 Hg
0.750 0.648 0.283 Hg
0.750 0.634 0.787 Cu
0.250 0.366 0.213 Cu
```

Computed properties:
- Space-group type: P2_1/m, No. 11
- Fermi-level density of states: 0.639 states/eV/atom
- Uncorrected energy: -2.41 eV/atom

---

The following is a DFT calculation (PBE-GGA) of Ca2CuHg after structural relaxation.

```
Ca2CuHg
1.0
3.642 0.000 0.000
0.000 3.642 0.000
0.000 0.000 8.053
Ca Cu Hg
2 1 1
Direct
0.000 0.000 0.936 Ca
0.500 0.500 0.321 Ca
0.000 0.000 0.537 Cu
0.500 0.500 0.706 Hg
```

Computed properties:
- Space-group type: P4mm, No. 99
- Fermi-level density of states: 0.568 states/eV/atom
- Uncorrected energy: -2.26 eV/atom

---

The following is a DFT calculation (PBE-GGA) of Ca2CuHg after structural relaxation.

```
Ca2CuHg
1.0
-2.256 -7.424 -2.087
2.592 -2.778 7.079
-3.072 -4.514 3.913
Hg Cu Ca
2 2 4
Direct
0.750 0.250 0.500 Hg
0.000 0.000 0.000 Hg
0.250 0.750 0.500 Cu
0.500 0.500 0.000 Cu
0.151 0.625 0.250 Ca
0.375 0.401 0.750 Ca
0.599 0.125 0.250 Ca
0.875 0.849 0.750 Ca
```

Computed properties:
- Space-group type: I-42d, No. 122
- Fermi-level density of states: 0.684 states/eV/atom
- Uncorrected energy: -2.13 eV/atom

---

The following is a DFT calculation (PBE-GGA) of CaCuHgI2 after structural relaxation.

```
CaCuHgI2
1.0
-3.688 4.122 -2.947
-2.601 0.566 4.046
3.789 4.664 1.782
Ca I Cu Hg
1 2 1 1
Direct
0.500 0.500 0.500 Ca
0.500 0.000 0.000 I
0.000 0.000 0.500 I
0.000 0.500 0.000 Cu
0.000 0.000 0.000 Hg
```

Computed properties:
- Space-group type: P4/mmm, No. 123
- Fermi-level density of states: 0.398 states/eV/atom
- ΔE_f (raw): -0.98 kcal/mol of atoms

---

The following is a DFT calculation (PBE-GGA) of KCaCuHg2 after structural relaxation.

```
KCaCuHg2
1.0
-5.385 -2.148 1.646
2.399 -2.092 5.118
-1.564 6.530 3.402
Hg Ca K Cu
2 1 1 1
Direct
0.500 0.000 0.000 Hg
0.000 0.500 0.000 Hg
0.000 0.000 0.000 Ca
0.000 0.000 0.500 K
0.500 0.500 0.500 Cu
```

Computed properties:
- Space-group type: P4/mmm, No. 123
- Fermi-level density of states: 0.514 states/eV/atom
- Uncorrected energy: -0.98 eV/atom

---

The following is a DFT calculation (PBE-GGA) of CaLuCuHg after structural relaxation.

```
CaLuCuHg
1.0
5.082 0.000 0.000
2.541 4.401 0.000
2.541 1.467 4.149
Lu Ca Cu Hg
1 1 1 1
Direct
0.000 0.000 0.000 Lu
0.500 0.500 0.500 Ca
0.250 0.250 0.250 Cu
0.750 0.750 0.750 Hg
```

Computed properties:
- Space-group type: F-43m, No. 216
- Fermi-level density of states: 0.610 states/eV/atom
- Uncorrected energy: -3.01 eV/atom

---

The following is a DFT calculation (PBE-GGA) of Ca2MgCuHg after structural relaxation.

```
Ca2MgCuHg
1.0
-3.064 -3.100 -3.408
2.653 -4.533 1.738
-3.324 -0.593 3.527
Ca Hg Cu Mg
2 1 1 1
Direct
0.000 0.500 0.000 Ca
0.500 0.000 0.000 Ca
0.500 0.500 0.500 Hg
0.000 0.000 0.000 Cu
0.000 0.000 0.500 Mg
```

Computed properties:
- Space-group type: P4/mmm, No. 123
- Fermi-level density of states: 0.676 states/eV/atom
- Uncorrected energy: -2.08 eV/atom

---

The following is a DFT calculation (PBE-GGA) of Ca2CuHgN after structural relaxation.

```
Ca2CuHgN
1.0
5.655 0.000 0.000
0.000 3.537 0.000
0.000 0.000 5.655
Ca Hg Cu N
2 1 1 1
Direct
0.000 0.000 0.500 Ca
0.500 0.000 0.000 Ca
0.500 0.500 0.500 Hg
0.000 0.000 0.000 Cu
0.000 0.500 0.000 N
```

Computed properties:
- Space-group type: P4/mmm, No. 123
- Fermi-level density of states: 0.761 states/eV/atom
- ΔE_f (raw): -0.13 kcal/mol of atoms
- E above lowest polymorph: 437 meV per atom

---

The following is a DFT calculation (PBE-GGA) of Ca2CuHgN after structural relaxation.

```
Ca2CuHgN
1.0
-0.785 -2.572 4.254
2.227 -4.032 -2.027
3.421 1.206 1.361
Cu Hg Ca N
1 1 2 1
Direct
0.000 0.000 0.500 Cu
0.500 0.500 0.500 Hg
0.000 0.500 0.000 Ca
0.500 0.000 0.000 Ca
0.000 0.000 0.000 N
```

Computed properties:
- Space-group type: P4/mmm, No. 123
- Fermi-level density of states: 0.549 states/eV/atom
- ΔE_f (raw): -10.21 kcal/mol of atoms
- E above lowest polymorph: 0 meV per atom

---

The following is a DFT calculation (PBE-GGA) of NaCa2CuHg after structural relaxation.

```
NaCa2CuHg
1.0
-4.968 -1.558 -2.160
-0.981 -3.181 4.549
-2.201 3.897 2.251
Cu Ca Hg Na
1 2 1 1
Direct
0.000 0.000 0.000 Cu
0.000 0.500 0.000 Ca
0.500 0.000 0.000 Ca
0.000 0.000 0.500 Hg
0.500 0.500 0.500 Na
```

Computed properties:
- Space-group type: P4/mmm, No. 123
- Fermi-level density of states: 0.897 states/eV/atom
- Uncorrected energy: -1.99 eV/atom

---

The following is a DFT calculation (PBE-GGA) of CaPrCuHg after structural relaxation.

```
CaPrCuHg
1.0
-3.729 -3.705 0.174
0.619 -4.483 -2.680
0.884 -4.502 2.573
Hg Ca Pr Cu
1 1 1 1
Direct
0.750 0.750 0.750 Hg
0.500 0.500 0.500 Ca
0.000 0.000 0.000 Pr
0.250 0.250 0.250 Cu
```

Computed properties:
- Space-group type: F-43m, No. 216
- Fermi-level density of states: 0.825 states/eV/atom
- Uncorrected energy: -3.09 eV/atom

---

The following is a DFT calculation (PBE-GGA) of CaScCuHg after structural relaxation.

```
CaScCuHg
1.0
4.996 0.000 0.000
2.498 4.326 0.000
2.498 1.442 4.079
Sc Hg Ca Cu
1 1 1 1
Direct
0.500 0.500 0.500 Sc
0.750 0.750 0.750 Hg
0.000 0.000 0.000 Ca
0.250 0.250 0.250 Cu
```

Computed properties:
- Space-group type: F-43m, No. 216
- Fermi-level density of states: 0.698 states/eV/atom
- Uncorrected energy: -3.42 eV/atom

---

The following is a DFT calculation (PBE-GGA) of Sr2CaCuHg after structural relaxation.

```
Sr2CaCuHg
1.0
-5.635 0.700 1.531
-1.588 -3.982 -4.026
0.529 -4.048 3.795
Sr Cu Hg Ca
2 1 1 1
Direct
0.500 0.000 0.000 Sr
0.000 0.500 0.000 Sr
0.000 0.000 0.000 Cu
0.500 0.500 0.500 Hg
0.000 0.000 0.500 Ca
```

Computed properties:
- Space-group type: P4/mmm, No. 123
- Fermi-level density of states: 0.541 states/eV/atom
- Uncorrected energy: -2.01 eV/atom

---

The following is a DFT calculation (PBE-GGA) of SrCaCuHg after structural relaxation.

```
SrCaCuHg
1.0
5.386 0.000 0.000
2.693 4.665 0.000
2.693 1.555 4.398
Hg Ca Sr Cu
1 1 1 1
Direct
0.250 0.250 0.250 Hg
0.000 0.000 0.000 Ca
0.500 0.500 0.500 Sr
0.750 0.750 0.750 Cu
```

Computed properties:
- Space-group type: F-43m, No. 216
- Fermi-level density of states: 0.829 states/eV/atom
- Uncorrected energy: -2.26 eV/atom

---

The following is a DFT calculation (PBE-GGA) of CaThCuHg after structural relaxation.

```
CaThCuHg
1.0
5.234 0.000 0.000
2.617 4.533 0.000
2.617 1.511 4.274
Ca Cu Hg Th
1 1 1 1
Direct
0.500 0.500 0.500 Ca
0.250 0.250 0.250 Cu
0.750 0.750 0.750 Hg
0.000 0.000 0.000 Th
```

Computed properties:
- Space-group type: F-43m, No. 216
- Fermi-level density of states: 0.835 states/eV/atom
- Uncorrected energy: -3.62 eV/atom

---

The following is a DFT calculation (PBE-GGA) of CaTlCuHg after structural relaxation.

```
CaTlCuHg
1.0
5.102 0.000 0.000
2.551 4.419 0.000
2.551 1.473 4.166
Cu Ca Hg Tl
1 1 1 1
Direct
0.500 0.500 0.500 Cu
0.750 0.750 0.750 Ca
0.000 0.000 0.000 Hg
0.250 0.250 0.250 Tl
```

Computed properties:
- Space-group type: F-43m, No. 216
- Fermi-level density of states: 0.390 states/eV/atom
- Uncorrected energy: -2.32 eV/atom

---

The following is a DFT calculation (PBE-GGA) of CaYCu2Hg after structural relaxation.

```
CaYCu2Hg
1.0
4.968 0.000 0.000
0.000 5.393 0.000
0.000 0.000 4.968
Ca Y Hg Cu
1 1 1 2
Direct
0.000 0.500 0.000 Ca
0.500 0.500 0.500 Y
0.000 0.000 0.000 Hg
0.000 0.000 0.500 Cu
0.500 0.000 0.000 Cu
```

Computed properties:
- Space-group type: P4/mmm, No. 123
- Fermi-level density of states: 0.735 states/eV/atom
- Uncorrected energy: -2.94 eV/atom

---

The following is a DFT calculation (PBE-GGA) of CaHoCu4 after structural relaxation.

```
CaHoCu4
1.0
5.270 0.000 0.000
2.635 4.564 0.000
2.635 1.521 4.303
Cu Ca Ho
4 1 1
Direct
0.625 0.625 0.625 Cu
0.625 0.625 0.124 Cu
0.625 0.124 0.625 Cu
0.124 0.625 0.625 Cu
0.000 0.000 0.000 Ca
0.250 0.250 0.250 Ho
```

Computed properties:
- Space-group type: F-43m, No. 216
- Fermi-level density of states: 1.371 states/eV/atom
- E above lowest polymorph: 71 meV per atom

---

The following is a DFT calculation (PBE-GGA) of Ca2HoCu after structural relaxation.

```
Ca2HoCu
1.0
3.669 0.000 0.000
1.834 3.177 0.000
1.834 1.059 10.937
Ho Ca Cu
1 2 1
Direct
0.000 0.000 0.000 Ho
0.106 0.106 0.681 Ca
0.894 0.894 0.319 Ca
0.500 0.500 0.500 Cu
```

Computed properties:
- Space-group type: R-3m, No. 166
- Fermi-level density of states: 1.190 states/eV/atom
- Uncorrected energy: -2.89 eV/atom

---

The following is a DFT calculation (PBE-GGA) of CaHo2Cu after structural relaxation.

```
CaHo2Cu
1.0
-1.974 -1.398 2.545
0.373 -3.174 -1.454
7.558 -1.436 5.072
Ho Ca Cu
2 1 1
Direct
0.000 0.000 0.822 Ho
0.000 0.000 0.178 Ho
0.500 0.500 0.500 Ca
0.500 0.500 0.000 Cu
```

Computed properties:
- Space-group type: P4/mmm, No. 123
- Fermi-level density of states: 1.013 states/eV/atom
- E above lowest polymorph: 0 meV per atom